Compound: Th2MnF11
Source: Alexandria
Functional: GGA+U
Structure: optimized geometry

extended XYZ file:
```
28
Lattice="-3.5110 -1.3132 8.2862 4.1351 -3.3559 6.2112 -0.4929 6.6809 5.8409" Properties=species:S:1:pos:R:3 pbc="T T T"
F 0.3450 0.8021 18.0624
F 0.2460 -1.1289 3.6725
F -0.1148 3.1407 16.6658
Mn 0.4557 0.6611 4.0865
Th -2.9927 3.2813 13.7770
F 1.5023 -1.2720 8.3775
F 1.1263 4.0335 11.2971
F -1.4233 0.8978 4.6986
F 1.5545 1.1141 15.6397
F -0.5633 -0.4502 15.9067
F -0.4908 3.8664 7.4351
F -0.2137 1.2097 2.2760
F -2.3104 1.7666 9.0843
F 1.3817 2.7879 8.8345
F 0.6220 -1.8546 12.9032
Th 0.7617 -1.1984 10.5626
Mn -0.3245 1.3507 16.2518
F -1.3711 3.2838 11.9608
Th 3.1239 -1.2694 6.5613
F 0.0656 1.0059 10.1692
Th -0.6305 3.2102 9.7757
F 2.4416 0.2452 11.2541
F -0.9951 -2.0216 9.0412
F 0.6945 2.4621 4.4317
F 1.3705 0.0638 5.7502
F -1.2392 1.9480 14.5881
F -1.2505 -0.7760 11.5039
F 4.1350 -3.3559 6.2112
```

The uncorrected energy is -6.68 eV per atom. As for the space group: C2/c, No. 15. The value obtained for the density of states at the Fermi level is 0.00 states/eV/f.u. The calculation puts the magnetic moment at 8.00 Bohr magnetons per cell.